Computed, not measured: AsSe2Cl after structural relaxation at the GGA-PBE level of DFT.

Properties
For the uncorrected formation energy, the calculation gives 272 meV per atom. For the density of states at the Fermi level, the calculation gives 0.98 states/eV/atom. The calculation puts the calculated total energy at -12.38 eV per cell. As for the space-group type: Cmmm (65).

abc: 8.849 8.849 2.675
angles: 90.00 90.00 145.87
Fractional coordinates of all 4 atoms:
As 0.000 0.000 0.000
Se 0.000 0.500 0.500
Se 0.500 0.000 0.500
Cl 0.500 0.500 0.000

Computed, not measured: LaGa4Co2 after structural relaxation at the GGA-PBE level of DFT.

Properties
For the density of states at the Fermi level, the calculation gives 1.02 states/eV/atom. The calculation puts the calculated total energy at -32.57 eV per cell. The value obtained for the formation energy is -0.19 eV/atom. As for the space-group type: C2/m (12).

abc: 5.376 5.376 5.129
angles: 117.91 117.91 77.27
Fractional coordinates of all 7 atoms:
La 0.000 0.000 0.000
Ga 0.001 0.606 0.305
Ga 0.394 0.999 0.695
Ga 0.606 0.001 0.305
Ga 0.999 0.394 0.695
Co 0.499 0.499 0.249
Co 0.501 0.501 0.751

Computed, not measured: Pm3Dy2Y6Tm after structural relaxation at the GGA-PBE level of DFT.

Properties
For the density of states at the Fermi level, the calculation gives 1.42 states/eV/atom. The calculation puts the calculated total energy at -66.48 eV per cell. The value obtained for the formation energy is 0.02 eV/atom. As for the space-group type: C2/m (12).

abc: 6.202 6.202 11.840
angles: 94.99 94.99 119.96
Fractional coordinates of all 12 atoms:
Pm 0.000 0.000 0.000
Pm 0.333 0.667 0.000
Pm 0.667 0.333 0.000
Dy 0.167 0.833 0.500
Dy 0.833 0.167 0.500
Y 0.085 0.418 0.253
Y 0.249 0.249 0.747
Y 0.418 0.085 0.253
Y 0.582 0.915 0.747
Y 0.751 0.751 0.253
Y 0.915 0.582 0.747
Tm 0.500 0.500 0.500

Computed, not measured: Mg2AsCl after structural relaxation at the GGA-PBE level of DFT.

Properties
For the uncorrected formation energy, the calculation gives -746 meV per atom. For the density of states at the Fermi level, the calculation gives 0.25 states/eV/atom. The calculation puts the calculated total energy at -12.67 eV per cell. As for the space-group type: Amm2 (38).

abc: 4.427 5.629 5.629
angles: 36.07 90.00 90.00
Fractional coordinates of all 4 atoms:
Mg 0.000 0.000 0.000
Mg 0.500 0.240 0.240
As 0.000 0.720 0.720
Cl 0.500 0.468 0.468

Computed, not measured: DyZnRhAu after structural relaxation at the GGA-PBE level of DFT.

Properties
For the density of states at the Fermi level, the calculation gives 0.58 states/eV/atom. The calculation puts the calculated total energy at -18.76 eV per cell. The value obtained for the formation energy is -0.56 eV/atom. As for the space-group type: F-43m (216).

abc: 4.706 4.706 4.706
angles: 60.00 60.00 60.00
Fractional coordinates of all 4 atoms:
Dy 0.000 0.000 0.000
Zn 0.500 0.500 0.500
Rh 0.250 0.250 0.250
Au 0.750 0.750 0.750

Computed, not measured: NdHo5Bi4 after structural relaxation at the GGA-PBE level of DFT.

Properties
For the density of states at the Fermi level, the calculation gives 0.75 states/eV/atom. The calculation puts the calculated total energy at -48.72 eV per cell. The value obtained for the formation energy is -0.55 eV/atom. As for the space-group type: C2/m (12).

abc: 10.214 10.214 7.753
angles: 101.44 101.44 25.00
Fractional coordinates of all 10 atoms:
Nd 0.000 0.000 0.000
Ho 0.000 0.000 0.500
Ho 0.304 0.304 0.389
Ho 0.312 0.312 0.914
Ho 0.688 0.688 0.086
Ho 0.696 0.696 0.611
Bi 0.137 0.137 0.328
Bi 0.436 0.436 0.227
Bi 0.564 0.564 0.773
Bi 0.863 0.863 0.672

Computed, not measured: MgMnSbTe2 after structural relaxation at the GGA-PBE level of DFT.

Properties
For the uncorrected formation energy, the calculation gives 644 meV per atom. For the density of states at the Fermi level, the calculation gives 1.06 states/eV/atom. The calculation puts the calculated total energy at -17.95 eV per cell. As for the space-group type: P4/mmm (123).

abc: 5.474 5.474 5.311
angles: 90.00 90.00 90.00
Fractional coordinates of all 5 atoms:
Mg 0.000 0.000 0.000
Mn 0.500 0.500 0.500
Sb 0.000 0.000 0.500
Te 0.000 0.500 0.000
Te 0.500 0.000 0.000

Computed, not measured: PaGaGe after structural relaxation at the GGA-PBE level of DFT.

Properties
For the density of states at the Fermi level, the calculation gives 1.36 states/eV/atom. The calculation puts the calculated total energy at -17.32 eV per cell. The value obtained for the formation energy is -0.06 eV/atom. As for the space-group type: P3m1 (156).

abc: 3.119 3.119 7.373
angles: 90.00 90.00 120.00
Fractional coordinates of all 3 atoms:
Pa 0.000 0.000 0.000
Ga 0.333 0.667 0.647
Ge 0.667 0.333 0.347

Across the entries above, magnetic moment takes the values 0.00 2.30 0.00 0.00 0.00 2.03 4.67 0.00 μB per cell, respectively.
Across the entries above, mass density takes the values 3791 7683 6250 3196 11893 8953 4760 9981 kg/m3, respectively.